! GGA-PBE Pr3Dy, relaxed; values from VASP
&SYSTEM
  ibrav = 0, nat = 4, ntyp = 2
/
ATOMIC_SPECIES
Pr 140.91 Pr.upf
Dy 162.50 Dy.upf
ATOMIC_POSITIONS crystal
Pr 0.7500 0.2500 0.5000
Pr 0.2500 0.7500 0.5000
Pr 0.5000 0.5000 0.0000
Dy 0.0000 0.0000 0.0000
CELL_PARAMETERS angstrom
6.3624 -0.0002 0.0000
2.1270 5.9964 0.0000
-4.2447 -2.9981 3.6707
! **Magnetic moment**: 0.00 Bohr magnetons per cell
! **E above lowest polymorph**: 0.6 meV/atom
! **Formation enthalpy at 0 K**: 0.015 eV/atom
! **DOS at the Fermi energy**: 6.18 states/eV per cell

! GGA-PBE Sm2RhBr2, relaxed; values from VASP
&SYSTEM
  ibrav = 0, nat = 5, ntyp = 3
/
ATOMIC_SPECIES
Sm 150.36 Sm.upf
Rh 102.91 Rh.upf
Br 79.90 Br.upf
ATOMIC_POSITIONS crystal
Sm 0.7197 0.2060 0.3546
Sm 0.2803 0.7940 0.6454
Rh 0.0000 0.5000 0.5000
Br 0.4492 0.9195 0.1820
Br 0.5508 0.0805 0.8180
CELL_PARAMETERS angstrom
-2.4220 3.2372 0.2622
-4.0151 -0.4442 -0.3034
-2.6541 -0.3550 11.1690
! **Formation energy without anion corrections**: -1.297 eV/atom
! **Magnetic moment**: 0.00 Bohr magnetons per cell
! **DOS at the Fermi energy**: 3.29 states/eV per cell

! GGA-PBE CsCu2Sb, relaxed; values from VASP
&SYSTEM
  ibrav = 0, nat = 8, ntyp = 3
/
ATOMIC_SPECIES
Cs 132.91 Cs.upf
Sb 121.76 Sb.upf
Cu 63.55 Cu.upf
ATOMIC_POSITIONS crystal
Cs 0.0000 0.0000 0.0000
Cs 0.7500 0.2500 0.5000
Sb 0.5000 0.5000 0.0000
Sb 0.2500 0.7500 0.5000
Cu 0.3751 0.1250 0.2500
Cu 0.3749 0.6250 0.2500
Cu 0.3750 0.6249 0.7500
Cu 0.8750 0.6251 0.7500
CELL_PARAMETERS angstrom
-3.7117 3.7445 -2.4866
-2.8904 -4.4579 -2.3987
-8.0645 -0.7641 4.0543
! **Formation energy without anion corrections**: -0.029 eV/atom
! **Magnetic moment**: 0.00 Bohr magnetons per cell

! GGA-PBE ScSnO2F, relaxed; values from VASP
&SYSTEM
  ibrav = 0, nat = 5, ntyp = 4
/
ATOMIC_SPECIES
Sc 44.96 Sc.upf
Sn 118.71 Sn.upf
O 16.00 O.upf
F 19.00 F.upf
ATOMIC_POSITIONS crystal
Sc 0.5000 0.5000 0.5000
Sn 0.0000 0.0000 0.0000
O 0.0000 0.5000 0.0000
O 0.5000 0.0000 0.0000
F 0.0000 0.0000 0.5000
CELL_PARAMETERS angstrom
4.1894 0.0000 0.0000
0.0000 4.1894 0.0000
0.0000 0.0000 4.3493
! **Formation energy without anion corrections**: -1.405 eV/atom
! **Magnetic moment**: 1.18 Bohr magnetons per cell
! **DOS at the Fermi energy**: 3.55 states/eV per cell

! GGA-PBE LaYNi2, relaxed; values from VASP
&SYSTEM
  ibrav = 0, nat = 4, ntyp = 3
/
ATOMIC_SPECIES
La 138.91 La.upf
Ni 58.69 Ni.upf
Y 88.91 Y.upf
ATOMIC_POSITIONS crystal
La 0.5000 0.5000 0.5000
Ni 0.0000 0.0000 0.0000
Ni 0.7500 0.7500 0.7500
Y 0.2500 0.2500 0.2500
CELL_PARAMETERS angstrom
-2.0367 3.6539 2.2350
-4.6962 0.0562 0.6609
-1.7892 -0.5822 4.3536
! **Magnetic moment**: 0.00 Bohr magnetons per cell
! **E above lowest polymorph**: 386.8 meV/atom
! **Formation enthalpy at 0 K**: 0.017 eV/atom
! **DOS at the Fermi energy**: 5.58 states/eV per cell

! GGA-PBE ZnInBr2Cl, relaxed; values from VASP
&SYSTEM
  ibrav = 0, nat = 5, ntyp = 4
/
ATOMIC_SPECIES
Zn 65.41 Zn.upf
Cl 35.45 Cl.upf
Br 79.90 Br.upf
In 114.82 In.upf
ATOMIC_POSITIONS crystal
Zn 0.0000 0.0000 0.0000
Cl 0.0000 0.0000 0.5000
Br 0.0000 0.5000 0.0000
Br 0.5000 0.0000 0.0000
In 0.5000 0.5000 0.5000
CELL_PARAMETERS angstrom
-4.9774 -1.7224 -0.5900
0.6463 -3.2772 4.1149
-1.5626 3.4818 3.0184
! **Formation energy without anion corrections**: -0.743 eV/atom
! **Magnetic moment**: 0.00 Bohr magnetons per cell
! **DOS at the Fermi energy**: 0.00 states/eV per cell

! GGA-PBE KInGa, relaxed; values from VASP
&SYSTEM
  ibrav = 0, nat = 12, ntyp = 3
/
ATOMIC_SPECIES
K 39.10 K.upf
In 114.82 In.upf
Ga 69.72 Ga.upf
ATOMIC_POSITIONS crystal
K 0.1959 0.0021 0.5770
K 0.6959 0.4979 0.4230
K 0.8041 0.5021 0.9230
K 0.3041 0.9979 0.0770
In 0.8423 0.4974 0.1604
In 0.3423 0.0026 0.8396
In 0.1577 0.9974 0.3396
In 0.6577 0.5026 0.6604
Ga 0.1678 0.5028 0.7486
Ga 0.6678 0.9972 0.2514
Ga 0.8322 0.0028 0.7514
Ga 0.3322 0.4972 0.2486
CELL_PARAMETERS angstrom
5.0240 0.0000 0.0000
0.0000 4.6509 0.0000
0.0000 0.0000 16.4780
! **Magnetic moment**: 0.00 Bohr magnetons per cell
! **E above lowest polymorph**: 0.0 meV/atom
! **Formation enthalpy at 0 K**: -0.110 eV/atom
! **DOS at the Fermi energy**: 5.14 states/eV per cell

! GGA-PBE Zr5TiIn6, relaxed; values from VASP
&SYSTEM
  ibrav = 0, nat = 12, ntyp = 3
/
ATOMIC_SPECIES
In 114.82 In.upf
Zr 91.22 Zr.upf
Ti 47.87 Ti.upf
ATOMIC_POSITIONS crystal
In 0.2482 0.0829 0.4135
In 0.7518 0.5865 0.9171
In 0.7465 0.2466 0.2466
In 0.2535 0.7534 0.7534
In 0.2482 0.4135 0.0829
In 0.7518 0.9171 0.5865
Zr 0.5000 0.1628 0.8372
Zr 0.0000 0.3333 0.6667
Zr 0.5000 0.5000 0.5000
Zr 0.0000 0.6667 0.3333
Zr 0.5000 0.8372 0.1628
Ti 0.0000 0.0000 0.0000
CELL_PARAMETERS angstrom
4.2535 -0.0040 -1.1925
-2.9998 7.2966 -2.5488
0.0319 0.1986 8.2882
! **Magnetic moment**: 0.00 Bohr magnetons per cell
! **Formation enthalpy at 0 K**: -0.285 eV/atom
! **DOS at the Fermi energy**: 9.51 states/eV per cell

! GGA-PBE In2CN, relaxed; values from VASP
&SYSTEM
  ibrav = 0, nat = 4, ntyp = 3
/
ATOMIC_SPECIES
C 12.01 C.upf
N 14.01 N.upf
In 114.82 In.upf
ATOMIC_POSITIONS crystal
C 0.0000 0.0000 0.0000
N 0.5000 0.5000 0.5000
In 0.2500 0.2500 0.2500
In 0.7500 0.7500 0.7500
CELL_PARAMETERS angstrom
0.0000 3.0281 3.0281
3.0281 0.0000 3.0281
3.0281 3.0281 0.0000
! **Formation energy without anion corrections**: 1.705 eV/atom
! **Magnetic moment**: 0.66 Bohr magnetons per cell
! **E above lowest polymorph**: 902.5 meV/atom
! **DOS at the Fermi energy**: 2.54 states/eV per cell

! GGA-PBE CaSm6Dy3Ho2, relaxed; values from VASP
&SYSTEM
  ibrav = 0, nat = 12, ntyp = 4
/
ATOMIC_SPECIES
Ca 40.08 Ca.upf
Sm 150.36 Sm.upf
Dy 162.50 Dy.upf
Ho 164.93 Ho.upf
ATOMIC_POSITIONS crystal
Ca 0.0000 0.0000 0.0000
Sm 0.9151 0.5748 0.7475
Sm 0.7447 0.7447 0.2532
Sm 0.0849 0.4252 0.2525
Sm 0.5748 0.9151 0.7475
Sm 0.2553 0.2553 0.7468
Sm 0.4252 0.0849 0.2525
Dy 0.1663 0.8337 0.5000
Dy 0.8337 0.1663 0.5000
Dy 0.5000 0.5000 0.5000
Ho 0.3333 0.6667 0.0000
Ho 0.6667 0.3333 0.0000
CELL_PARAMETERS angstrom
-6.1649 -0.7717 -0.7354
3.9605 -4.4313 -1.9548
0.1262 -3.4342 11.3543
! **Magnetic moment**: 0.00 Bohr magnetons per cell
! **Formation enthalpy at 0 K**: 0.039 eV/atom
! **DOS at the Fermi energy**: 14.31 states/eV per cell

! GGA-PBE Tb2TmGe2, relaxed; values from VASP
&SYSTEM
  ibrav = 0, nat = 10, ntyp = 3
/
ATOMIC_SPECIES
Tb 158.93 Tb.upf
Tm 168.93 Tm.upf
Ge 72.64 Ge.upf
ATOMIC_POSITIONS crystal
Tb 0.3191 0.2743 0.0875
Tb 0.4830 0.3470 0.6869
Tb 0.6809 0.7257 0.9125
Tb 0.5170 0.6530 0.3131
Tm 0.7807 0.0779 0.3607
Tm 0.2193 0.9221 0.6393
Ge 0.9754 0.1585 0.8907
Ge 0.1188 0.3271 0.4353
Ge 0.0246 0.8415 0.1093
Ge 0.8812 0.6729 0.5647
CELL_PARAMETERS angstrom
4.3564 0.0000 0.0000
2.1782 6.1049 0.1446
2.1782 1.1518 9.3847
! **Magnetic moment**: 0.00 Bohr magnetons per cell
! **E above lowest polymorph**: 97.2 meV/atom
! **Formation enthalpy at 0 K**: -0.702 eV/atom
! **DOS at the Fermi energy**: 5.49 states/eV per cell